This record from Alexandria via LeMat-Bulk describes a relaxed structure of CoOsW. The functional is PBEsol.

a = 4.0981 Å, b = 4.0981 Å, c = 4.0981 Å
α = 60.00°, β = 60.00°, γ = 60.00°
Last column: nearest neighbours and their distance in Å.
Fractional coordinates of all 3 atoms:
Co  0.0000  0.0000  0.0000  4 Os 2.51
Os  0.2500  0.2500  0.2500  4 W 2.51, 4 Co 2.51
W  0.5000  0.5000  0.5000  4 Os 2.51

Properties
The relative energy among the computed polymorphs comes out at 668 meV per atom. Its calculated formation energy is 784 meV/atom. The density comes out at 14.8 g/cm3.